(1)
Entry from the Alexandria database: a relaxed structure of NiHgBPC (PBE).

Results
**DFT formation energy**: 0.292 eV/atom
**SG**: R3m
**Total moment**: 0.00 μB/cell
**DOS(E_F)**: 0.510 states/eV/atom
**Crystal system**: trigonal
**Electronic total energy**: -77.80 eV/cell

The structure in CIF format:
```
data_NiHgBPC
_chemical_formula_sum 'Ni3 Hg3 B3 P3 C3'
_symmetry_space_group_name_H-M 'P 1'
_symmetry_Int_Tables_number 1
_cell_length_a 3.099
_cell_length_b 3.099
_cell_length_c 23.870
_cell_angle_alpha 90.00
_cell_angle_beta 90.00
_cell_angle_gamma 120.00
loop_
_symmetry_equiv_pos_as_xyz
'x,y,z'
loop_
_atom_site_label
_atom_site_fract_x
_atom_site_fract_y
_atom_site_fract_z
Ni1 0.000 0.000 0.259
Ni2 0.333 0.667 0.926
Ni3 0.667 0.333 0.593
P1 0.000 0.000 0.129
P2 0.333 0.667 0.796
P3 0.667 0.333 0.462
Hg1 0.000 0.000 0.020
Hg2 0.667 0.333 0.353
Hg3 0.333 0.667 0.687
C1 0.667 0.333 0.891
C2 0.333 0.667 0.224
C3 0.000 0.000 0.558
B1 0.667 0.333 0.825
B2 0.000 0.000 0.492
B3 0.333 0.667 0.159
```

***

(2)
Entry from the Alexandria database: a relaxed structure of BaSbP2 (PBE).

Results
**SG**: Pm
**Total moment**: 0.00 μB/cell
**DOS(E_F)**: 0.518 states/eV/atom
**Crystal system**: monoclinic
**Electronic total energy**: -18.24 eV/cell
**Formation energy from raw total energies**: -342.7 meV per atom

The structure in CIF format:
```
data_BaSbP2
_chemical_formula_sum 'Ba1 Sb1 P2'
_symmetry_space_group_name_H-M 'P 1'
_symmetry_Int_Tables_number 1
_cell_length_a 4.270
_cell_length_b 5.203
_cell_length_c 5.220
_cell_angle_alpha 74.91
_cell_angle_beta 90.00
_cell_angle_gamma 90.00
loop_
_symmetry_equiv_pos_as_xyz
'x,y,z'
loop_
_atom_site_label
_atom_site_fract_x
_atom_site_fract_y
_atom_site_fract_z
Sb1 0.000 0.380 0.446
P1 0.000 0.204 0.960
P2 0.500 0.162 0.240
Ba1 0.500 0.754 0.853
```

***

(3)
Entry from the Alexandria database: a relaxed structure of Al2Ga4Ag5 (PBE).

Results
**DFT formation energy**: 0.184 eV/atom
**SG**: Immm
**Total moment**: 0.00 μB/cell
**DOS(E_F)**: 0.470 states/eV/atom
**Crystal system**: orthorhombic
**Electronic total energy**: -31.82 eV/cell

The structure in CIF format:
```
data_Al2Ga4Ag5
_chemical_formula_sum 'Al2 Ga4 Ag5'
_symmetry_space_group_name_H-M 'P 1'
_symmetry_Int_Tables_number 1
_cell_length_a 2.869
_cell_length_b 7.379
_cell_length_c 12.134
_cell_angle_alpha 107.70
_cell_angle_beta 96.79
_cell_angle_gamma 90.00
loop_
_symmetry_equiv_pos_as_xyz
'x,y,z'
loop_
_atom_site_label
_atom_site_fract_x
_atom_site_fract_y
_atom_site_fract_z
Ag1 0.804 0.000 0.608
Ag2 0.196 0.392 0.392
Ag3 0.196 0.000 0.392
Ag4 0.500 0.000 0.000
Ag5 0.804 0.608 0.608
Al1 0.307 0.307 0.614
Al2 0.693 0.693 0.386
Ga1 0.000 0.676 0.000
Ga2 0.101 0.101 0.202
Ga3 0.000 0.324 0.000
Ga4 0.899 0.899 0.798
```

***

(4)
Entry from the Alexandria database: a relaxed structure of Zr2MnZnCo (PBE).

Results
**DFT formation energy**: 0.450 eV/atom
**SG**: P4/mmm
**Total moment**: 0.00 μB/cell
**DOS(E_F)**: 0.781 states/eV/atom
**Crystal system**: tetragonal
**Electronic total energy**: -32.40 eV/cell

The structure in CIF format:
```
data_Zr2MnZnCo
_chemical_formula_sum 'Zr2 Mn1 Zn1 Co1'
_symmetry_space_group_name_H-M 'P 1'
_symmetry_Int_Tables_number 1
_cell_length_a 4.814
_cell_length_b 4.137
_cell_length_c 4.814
_cell_angle_alpha 90.00
_cell_angle_beta 90.00
_cell_angle_gamma 90.00
loop_
_symmetry_equiv_pos_as_xyz
'x,y,z'
loop_
_atom_site_label
_atom_site_fract_x
_atom_site_fract_y
_atom_site_fract_z
Mn1 0.000 0.000 0.000
Co1 0.000 0.500 0.000
Zr1 0.500 0.000 0.000
Zr2 0.000 0.000 0.500
Zn1 0.500 0.500 0.500
```